Entry 1:
Below is a relaxed CsKRe3 crystal, with properties calculated at the GGA-PBE level.

Cell lengths 5.1270, 5.1270, 5.1270 Å; angles 90.00, 90.00, 90.00 degrees
Closest atoms and distances in Å follow each position.
Element x y z (fractional)
1 Re 0.5000 0.0000 0.0000  2 K 2.56
2 Re 0.0000 0.0000 0.5000  2 K 2.56
3 Re 0.0000 0.5000 0.0000  2 K 2.56
4 Cs 0.5000 0.5000 0.5000  12 Re 3.63
5 K 0.0000 0.0000 0.0000  6 Re 2.56

- DFT total energy (eV per atom) = -3.729
- N(E_F) (states/eV per cell) = 7.29
- formation enthalpy at 0 K (kJ/mol of formula units) = 1992.7
- crystal system = cubic
- total moment (Bohr magnetons per cell) = 6.83
- SG = Pm-3m, No. 221

Entry 2:
Below is a relaxed Sb2H20Cl12O9 crystal, with properties calculated at the GGA-PBE level.

Cell lengths 12.0103, 12.0103, 12.3468 Å; angles 93.13, 117.20, 118.30 degrees
Closest atoms and distances in Å follow each position.
Element x y z (fractional)
1 H 0.2869 0.3116 0.7835  1 O 0.98
2 H 0.4707 0.2669 0.0290  1 O 0.98
3 H 0.8169 0.3059 0.1103  1 O 1.01
4 H 0.0168 0.5047 0.1836  1 O 0.98
5 H 0.6966 0.0183 0.7031  1 O 0.98
6 H 0.3724 0.7769 0.9865  1 O 1.01
7 H 0.6050 0.8006 0.6116  1 O 0.99
8 H 0.3110 0.0066 0.1116  1 O 0.99
9 H 0.4538 0.6530 0.5069  1 O 0.99
10 H 0.1867 0.4801 0.3838  1 O 0.99
11 H 0.3950 0.1994 0.3884  1 O 0.99
12 H 0.5462 0.3470 0.4931  1 O 0.99
13 H 0.8133 0.5199 0.6162  1 O 0.99
14 H 0.7096 0.6141 0.4865  1 O 1.01
15 H 0.1847 0.0065 0.2031  1 O 0.98
16 H 0.7104 0.1330 0.0029  1 O 1.14
17 H 0.5293 0.7331 0.9710  1 O 0.98
18 H 0.3539 0.0531 0.0069  1 O 0.99
19 H 0.7131 0.6884 0.2165  1 O 0.98
20 H 0.6301 0.7075 0.4971  1 O 1.14
21 H 0.8211 0.8332 0.3164  1 O 0.98
22 H 0.5963 0.8030 0.1162  1 O 0.99
23 H 0.2904 0.3859 0.5135  1 O 1.01
24 H 0.3044 0.2934 0.6103  1 O 1.01
25 H 0.6890 0.9934 0.8884  1 O 0.99
26 H 0.9832 0.4953 0.8164  1 O 0.98
27 H 0.0281 0.5034 0.7165  1 O 0.98
28 H 0.1789 0.1668 0.6836  1 O 0.98
29 H 0.7379 0.4417 0.4710  1 O 0.98
30 H 0.2896 0.8670 0.9971  1 O 1.14
31 H 0.4037 0.1970 0.8838  1 O 0.99
32 H 0.6461 0.9469 0.9931  1 O 0.99
33 H 0.9719 0.4966 0.2835  1 O 0.98
34 H 0.6276 0.2231 0.0135  1 O 1.01
35 H 0.3699 0.2925 0.5029  1 O 1.14
36 H 0.8153 0.9935 0.7969  1 O 0.98
37 H 0.2621 0.5583 0.5290  1 O 0.98
38 H 0.6956 0.7066 0.3897  1 O 1.01
39 H 0.1831 0.6941 0.8897  1 O 1.01
40 H 0.3034 0.9817 0.2969  1 O 0.98
41 O 0.7240 0.4870 0.5279  2 H 0.98-0.99
42 O 0.2932 0.0432 0.2500  2 H 0.98
43 O 0.2789 0.7684 0.9722  2 H 1.01
44 O 0.0126 0.5531 0.7682  2 H 0.98
45 O 0.7068 0.9568 0.7500  2 H 0.98
46 O 0.2959 0.9753 0.0270  2 H 0.99
47 O 0.9874 0.4469 0.2318  2 H 0.98
48 O 0.5409 0.8038 0.0279  2 H 0.98-0.99
49 O 0.2962 0.3067 0.5278  2 H 1.01
50 O 0.2760 0.5130 0.4721  2 H 0.98-0.99
51 O 0.7211 0.2316 0.0278  2 H 1.01
52 O 0.4591 0.1962 0.9721  2 H 0.98-0.99
53 O 0.5517 0.7311 0.5270  2 H 0.99
54 O 0.2849 0.2444 0.7318  2 H 0.98
55 O 0.7041 0.0247 0.9730  2 H 0.99
56 O 0.4483 0.2689 0.4730  2 H 0.99
57 O 0.7151 0.7556 0.2682  2 H 0.98
58 O 0.7038 0.6933 0.4722  2 H 1.01
59 Cl 0.1270 0.8747 0.6979  1 Sb 2.39
60 Cl 0.3232 0.5710 0.1979  1 Sb 2.39
61 Cl 0.8988 0.0386 0.5666  1 Sb 2.41, 1 H 2.49
62 Cl 0.9042 0.8691 0.0823  1 Sb 2.41, 1 H 2.48
63 Cl 0.9720 0.3322 0.9334  1 Sb 2.41, 1 H 2.49
64 Cl 0.4466 0.0614 0.6969  1 Sb 2.39
65 Cl 0.5534 0.9386 0.3031  1 Sb 2.39
66 Cl 0.5524 0.6292 0.8202  1 H 2.38, 1 Sb 2.44
67 Cl 0.6910 0.2678 0.3202  1 H 2.38, 1 Sb 2.44
68 Cl 0.8645 0.7497 0.8031  1 Sb 2.39
69 Cl 0.1012 0.9614 0.4334  1 Sb 2.41, 1 H 2.49
70 Cl 0.2868 0.8218 0.4177  1 Sb 2.41, 1 H 2.48
71 Cl 0.4476 0.3708 0.1798  1 H 2.38, 1 Sb 2.44
72 Cl 0.0323 0.3665 0.5805  1 H 2.32, 1 Sb 2.44
73 Cl 0.0958 0.1309 0.9177  1 Sb 2.41, 1 H 2.48
74 Cl 0.3090 0.7322 0.6798  1 H 2.38, 1 Sb 2.44
75 Cl 0.2859 0.4518 0.9195  1 H 2.32, 1 Sb 2.44
76 Cl 0.9677 0.6335 0.4195  1 H 2.32, 1 Sb 2.44
77 Cl 0.8730 0.1253 0.3021  1 Sb 2.39
78 Cl 0.1355 0.2503 0.1969  1 Sb 2.39
79 Cl 0.7132 0.1782 0.5823  1 Sb 2.41, 1 H 2.48
80 Cl 0.7141 0.5482 0.0805  1 H 2.32, 1 Sb 2.44
81 Cl 0.6768 0.4290 0.8021  1 Sb 2.39
82 Cl 0.0280 0.6678 0.0666  1 Sb 2.41, 1 H 2.49
83 Sb 0.7923 0.6489 0.9410  6 Cl 2.39-2.44
84 Sb 0.2077 0.3511 0.0590  6 Cl 2.39-2.44
85 Sb 0.2079 0.8513 0.5590  6 Cl 2.39-2.44
86 Sb 0.7921 0.1487 0.4410  6 Cl 2.39-2.44

- DFT total energy (eV per atom) = -4.234
- crystal system = monoclinic
- total moment (Bohr magnetons per cell) = 0.00
- SG = C2/c, No. 15

Entry 3:
Below is a relaxed MgCoSe crystal, with properties calculated at the GGA-PBE level.

Cell lengths 4.0456, 4.0456, 5.9049 Å; angles 90.00, 90.00, 90.00 degrees
Closest atoms and distances in Å follow each position.
Element x y z (fractional)
1 Se 0.0000 0.5000 0.2590  4 Co 2.47, 1 Mg 2.69
2 Se 0.5000 0.0000 0.7410  4 Co 2.47, 1 Mg 2.69
3 Co 0.5000 0.5000 0.5000  4 Se 2.47, 4 Mg 2.70
4 Co 0.0000 0.0000 0.5000  4 Se 2.47, 4 Mg 2.70
5 Mg 0.0000 0.5000 0.8028  5 Se 2.69-2.88, 4 Co 2.70
6 Mg 0.5000 0.0000 0.1972  5 Se 2.69-2.88, 4 Co 2.70

- DFT total energy (eV per atom) = -4.380
- N(E_F) (states/eV per cell) = 0.68
- crystal system = tetragonal
- formation energy (no corrections) (eV/atom) = -0.32
- total moment (Bohr magnetons per cell) = 2.02
- SG = P4/nmm, No. 129

Question: The highest total moment belongs to which entry?
Answer: CsKRe3